[1]
{"formula": "Si2GeRu2", "functional": "PBE-GGA", "state": "relaxed", "magnetic_moment_mub_per_fu": 0.00, "raw_formation_energy_ev_per_atom": -0.272, "de_polymorph_mev_per_atom": 39, "dft_energy_ev_per_atom": -7.0750, "n_ef_per_ev_cell": 8.44, "spacegroup": "P4/mbm (127)", "lattice": [[7.080, 0.000, 0.000], [0.000, 7.080, 0.000], [0.000, 0.000, 2.859]], "species": ["Si", "Si", "Si", "Ru", "Ru", "Ge", "Si", "Ru", "Ge", "Ru"], "fractional_positions": [[0.361, 0.139, 0.500], [0.639, 0.861, 0.500], [0.139, 0.639, 0.500], [0.346, 0.846, 0.000], [0.654, 0.154, 0.000], [0.500, 0.500, 0.000], [0.861, 0.361, 0.500], [0.846, 0.654, 0.000], [0.000, 0.000, 0.000], [0.154, 0.346, 0.000]]}

---

[2]
{"formula": "Si4GeRu5", "functional": "PBE-GGA", "state": "relaxed", "magnetic_moment_mub_per_fu": 0.00, "raw_formation_energy_ev_per_atom": -0.562, "dft_energy_ev_per_atom": -7.8304, "n_ef_per_ev_cell": 1.22, "spacegroup": "P4/mmm (123)", "lattice": [[-0.823, 2.832, 0.157], [-1.643, -0.343, -2.430], [-11.639, -3.849, 8.412]], "species": ["Si", "Si", "Ru", "Si", "Ge", "Ru", "Ru", "Si", "Ru", "Ru"], "fractional_positions": [[0.000, 0.000, 0.203], [0.000, 0.000, 0.797], [0.500, 0.500, 0.500], [0.000, 0.000, 0.599], [0.000, 0.000, 0.000], [0.500, 0.500, 0.106], [0.500, 0.500, 0.894], [0.000, 0.000, 0.401], [0.500, 0.500, 0.303], [0.500, 0.500, 0.697]]}

---

[3]
{"formula": "SiGe2Ru2", "functional": "PBE-GGA", "state": "relaxed", "magnetic_moment_mub_per_fu": 0.00, "raw_formation_energy_ev_per_atom": -0.033, "dft_energy_ev_per_atom": -6.6749, "n_ef_per_ev_cell": 6.50, "spacegroup": "P4/mbm (127)", "lattice": [[7.102, 0.000, 0.000], [0.000, 7.102, 0.000], [0.000, 0.000, 2.984]], "species": ["Ge", "Ru", "Ge", "Si", "Ru", "Ru", "Si", "Ge", "Ge", "Ru"], "fractional_positions": [[0.144, 0.644, 0.500], [0.346, 0.846, 0.000], [0.856, 0.356, 0.500], [0.000, 0.000, 0.000], [0.154, 0.346, 0.000], [0.846, 0.654, 0.000], [0.500, 0.500, 0.000], [0.644, 0.856, 0.500], [0.356, 0.144, 0.500], [0.654, 0.154, 0.000]]}

---

[4]
{"formula": "Si2GeRu2", "functional": "PBE-GGA", "state": "relaxed", "magnetic_moment_mub_per_fu": 0.00, "raw_formation_energy_ev_per_atom": -0.189, "de_polymorph_mev_per_atom": 121, "dft_energy_ev_per_atom": -6.9924, "n_ef_per_ev_cell": 5.40, "spacegroup": "P4/mbm (127)", "lattice": [[-3.586, -4.345, -4.402], [6.062, -3.476, -1.508], [-0.485, -1.779, 2.152]], "species": ["Ru", "Si", "Si", "Ge", "Ru", "Ge", "Ru", "Ru", "Si", "Si"], "fractional_positions": [[0.347, 0.153, 0.500], [0.363, 0.863, 0.000], [0.637, 0.137, 0.000], [0.500, 0.500, 0.000], [0.847, 0.347, 0.500], [0.000, 0.000, 0.000], [0.653, 0.847, 0.500], [0.153, 0.653, 0.500], [0.863, 0.637, 0.000], [0.137, 0.363, 0.000]]}

---

[5]
{"formula": "Si2GeRu2", "functional": "PBE-GGA", "state": "relaxed", "magnetic_moment_mub_per_fu": 0.00, "raw_formation_energy_ev_per_atom": -0.311, "de_polymorph_mev_per_atom": 0, "dft_energy_ev_per_atom": -7.1139, "n_ef_per_ev_cell": 2.30, "spacegroup": "I4/mmm (139)", "lattice": [[-2.458, 2.103, -1.364], [-1.538, 0.244, 3.147], [1.397, 5.977, 2.178]], "species": ["Ru", "Si", "Ge", "Si", "Ru"], "fractional_positions": [[0.614, 0.614, 0.772], [0.750, 0.250, 0.500], [0.000, 0.000, 0.000], [0.250, 0.750, 0.500], [0.386, 0.386, 0.228]]}

---

[6]
{"formula": "SiGeRu3", "functional": "PBE-GGA", "state": "relaxed", "magnetic_moment_mub_per_fu": 0.00, "raw_formation_energy_ev_per_atom": 0.663, "de_polymorph_mev_per_atom": 0, "dft_energy_ev_per_atom": -6.9107, "n_ef_per_ev_cell": 2.91, "spacegroup": "Pm-3m (221)", "lattice": [[4.366, 0.000, 0.000], [0.000, 4.366, 0.000], [0.000, 0.000, 4.366]], "species": ["Ru", "Ge", "Si", "Ru", "Ru"], "fractional_positions": [[0.500, 0.000, 0.000], [0.500, 0.500, 0.500], [0.000, 0.000, 0.000], [0.000, 0.500, 0.000], [0.000, 0.000, 0.500]]}

---

[7]
{"formula": "SrSiGe2Ru2", "functional": "PBE-GGA", "state": "relaxed", "magnetic_moment_mub_per_fu": 1.13, "raw_formation_energy_ev_per_atom": -0.213, "dft_energy_ev_per_atom": -6.0283, "n_ef_per_ev_cell": 5.31, "spacegroup": "P4/mmm (123)", "lattice": [[4.511, 0.000, 0.000], [0.000, 4.511, 0.000], [0.000, 0.000, 5.823]], "species": ["Ru", "Ge", "Ge", "Ru", "Si", "Sr"], "fractional_positions": [[0.000, 0.500, 0.000], [0.500, 0.500, 0.743], [0.500, 0.500, 0.257], [0.500, 0.000, 0.000], [0.000, 0.000, 0.000], [0.000, 0.000, 0.500]]}

---

[8]
{"formula": "TbSiGe2Ru2", "functional": "PBE-GGA", "state": "relaxed", "magnetic_moment_mub_per_fu": 0.00, "raw_formation_energy_ev_per_atom": -0.248, "dft_energy_ev_per_atom": -6.5549, "n_ef_per_ev_cell": 5.91, "spacegroup": "P4/mmm (123)", "lattice": [[-0.866, -3.203, -2.971], [0.388, -3.073, 3.200], [-5.406, 0.451, 1.089]], "species": ["Ge", "Ru", "Tb", "Si", "Ru", "Ge"], "fractional_positions": [[0.500, 0.500, 0.724], [0.000, 0.500, 0.000], [0.000, 0.000, 0.500], [0.000, 0.000, 0.000], [0.500, 0.000, 0.000], [0.500, 0.500, 0.276]]}

---

[9]
{"formula": "SiTcGe2Ru", "functional": "PBE-GGA", "state": "relaxed", "magnetic_moment_mub_per_fu": 1.81, "raw_formation_energy_ev_per_atom": 1.005, "dft_energy_ev_per_atom": -5.8550, "n_ef_per_ev_cell": 4.90, "spacegroup": "P4/mmm (123)", "lattice": [[4.660, 0.000, 0.000], [0.000, 4.939, 0.000], [0.000, 0.000, 4.660]], "species": ["Ge", "Tc", "Si", "Ge", "Ru"], "fractional_positions": [[0.500, 0.000, 0.000], [0.000, 0.500, 0.000], [0.500, 0.500, 0.500], [0.000, 0.000, 0.500], [0.000, 0.000, 0.000]]}

---

[10]
{"formula": "ThSiGe2Ru2", "functional": "PBE-GGA", "state": "relaxed", "magnetic_moment_mub_per_fu": 0.38, "raw_formation_energy_ev_per_atom": -0.252, "dft_energy_ev_per_atom": -7.0234, "n_ef_per_ev_cell": 5.43, "spacegroup": "P4/mmm (123)", "lattice": [[4.459, 0.000, 0.000], [0.000, 4.459, 0.000], [0.000, 0.000, 5.661]], "species": ["Th", "Ge", "Si", "Ru", "Ru", "Ge"], "fractional_positions": [[0.000, 0.000, 0.500], [0.500, 0.500, 0.726], [0.000, 0.000, 0.000], [0.000, 0.500, 0.000], [0.500, 0.000, 0.000], [0.500, 0.500, 0.274]]}

---

[11]
{"formula": "Tm2Si2GeRu5", "functional": "PBE-GGA", "state": "relaxed", "magnetic_moment_mub_per_fu": 0.00, "raw_formation_energy_ev_per_atom": -0.685, "dft_energy_ev_per_atom": -7.7632, "n_ef_per_ev_cell": 9.30, "spacegroup": "P4/mbm (127)", "lattice": [[-0.055, -1.597, 2.768], [9.921, -0.210, 0.077], [0.143, 8.593, 4.961]], "species": ["Ru", "Ge", "Ru", "Tm", "Si", "Ru", "Ru", "Si", "Ru", "Ru", "Ru", "Tm", "Tm", "Ru", "Si", "Ge", "Si", "Tm", "Ru", "Ru"], "fractional_positions": [[0.500, 0.433, 0.295], [0.000, 0.500, 0.500], [0.500, 0.933, 0.205], [0.000, 0.173, 0.327], [0.000, 0.872, 0.372], [0.500, 0.295, 0.567], [0.500, 0.000, 0.500], [0.000, 0.628, 0.872], [0.500, 0.067, 0.795], [0.500, 0.705, 0.433], [0.500, 0.567, 0.705], [0.000, 0.673, 0.173], [0.000, 0.327, 0.827], [0.500, 0.205, 0.067], [0.000, 0.372, 0.128], [0.000, 0.000, 0.000], [0.000, 0.128, 0.628], [0.000, 0.827, 0.673], [0.500, 0.795, 0.933], [0.500, 0.500, 0.000]]}

---

[12]
{"formula": "Tm2SiGe2Ru5", "functional": "PBE-GGA", "state": "relaxed", "magnetic_moment_mub_per_fu": 0.00, "raw_formation_energy_ev_per_atom": -0.520, "dft_energy_ev_per_atom": -7.5185, "n_ef_per_ev_cell": 16.21, "spacegroup": "P4/mbm (127)", "lattice": [[-1.771, 2.523, -0.941], [-3.507, 1.005, 9.297], [7.572, 6.132, 2.193]], "species": ["Tm", "Ge", "Ge", "Tm", "Ru", "Ru", "Ru", "Ru", "Ge", "Ru", "Ru", "Tm", "Ge", "Tm", "Ru", "Ru", "Ru", "Si", "Si", "Ru"], "fractional_positions": [[0.000, 0.829, 0.671], [0.000, 0.369, 0.131], [0.000, 0.131, 0.631], [0.000, 0.329, 0.829], [0.500, 0.196, 0.061], [0.500, 0.061, 0.804], [0.500, 0.439, 0.304], [0.500, 0.500, 0.000], [0.000, 0.631, 0.869], [0.500, 0.561, 0.696], [0.500, 0.696, 0.439], [0.000, 0.671, 0.171], [0.000, 0.869, 0.369], [0.000, 0.171, 0.329], [0.500, 0.304, 0.561], [0.500, 0.000, 0.500], [0.500, 0.939, 0.196], [0.000, 0.000, 0.000], [0.000, 0.500, 0.500], [0.500, 0.804, 0.939]]}

---

[13]
{"formula": "U2Si2GeRu5", "functional": "PBE-GGA", "state": "relaxed", "magnetic_moment_mub_per_fu": 2.93, "raw_formation_energy_ev_per_atom": -0.437, "dft_energy_ev_per_atom": -8.8793, "n_ef_per_ev_cell": 22.87, "spacegroup": "P4/mbm (127)", "lattice": [[-1.814, 1.037, 2.658], [-8.228, -2.504, -4.638], [0.546, -8.957, 3.866]], "species": ["Si", "Ru", "Ge", "Si", "Ru", "U", "U", "Ru", "Ru", "Si", "Si", "Ru", "Ge", "Ru", "Ru", "Ru", "Ru", "U", "Ru", "U"], "fractional_positions": [[0.000, 0.876, 0.376], [0.500, 0.707, 0.429], [0.000, 0.500, 0.500], [0.000, 0.376, 0.124], [0.500, 0.571, 0.707], [0.000, 0.674, 0.174], [0.000, 0.174, 0.326], [0.500, 0.793, 0.929], [0.500, 0.293, 0.571], [0.000, 0.124, 0.624], [0.000, 0.624, 0.876], [0.500, 0.071, 0.793], [0.000, 0.000, 0.000], [0.500, 0.207, 0.071], [0.500, 0.500, 0.000], [0.500, 0.429, 0.293], [0.500, 0.000, 0.500], [0.000, 0.826, 0.674], [0.500, 0.929, 0.207], [0.000, 0.326, 0.826]]}

---

[14]
{"formula": "YSiGe2Ru2", "functional": "PBE-GGA", "state": "relaxed", "magnetic_moment_mub_per_fu": 0.01, "raw_formation_energy_ev_per_atom": -0.245, "dft_energy_ev_per_atom": -6.8570, "n_ef_per_ev_cell": 6.03, "spacegroup": "P4/mmm (123)", "lattice": [[-3.072, 1.408, 2.905], [2.389, -1.704, 3.353], [2.692, 4.798, 0.520]], "species": ["Ru", "Si", "Y", "Ge", "Ge", "Ru"], "fractional_positions": [[0.500, 0.000, 0.000], [0.000, 0.000, 0.000], [0.000, 0.000, 0.500], [0.500, 0.500, 0.275], [0.500, 0.500, 0.725], [0.000, 0.500, 0.000]]}

---

[15]
{"formula": "Y2Si2GeRu5", "functional": "PBE-GGA", "state": "relaxed", "magnetic_moment_mub_per_fu": 0.00, "raw_formation_energy_ev_per_atom": -0.638, "dft_energy_ev_per_atom": -8.1154, "n_ef_per_ev_cell": 8.98, "spacegroup": "P4/mbm (127)", "lattice": [[3.208, 0.000, 0.000], [0.000, 9.995, 0.000], [0.000, 0.000, 9.995]], "species": ["Y", "Si", "Y", "Ge", "Ge", "Ru", "Si", "Ru", "Ru", "Ru", "Y", "Y", "Ru", "Ru", "Ru", "Ru", "Si", "Ru", "Ru", "Si"], "fractional_positions": [[0.000, 0.326, 0.826], [0.000, 0.127, 0.627], [0.000, 0.826, 0.674], [0.000, 0.500, 0.500], [0.000, 0.000, 0.000], [0.500, 0.705, 0.434], [0.000, 0.373, 0.127], [0.500, 0.434, 0.295], [0.500, 0.795, 0.934], [0.500, 0.066, 0.795], [0.000, 0.174, 0.326], [0.000, 0.674, 0.174], [0.500, 0.205, 0.066], [0.500, 0.566, 0.705], [0.500, 0.500, 0.000], [0.500, 0.000, 0.500], [0.000, 0.627, 0.873], [0.500, 0.934, 0.205], [0.500, 0.295, 0.566], [0.000, 0.873, 0.373]]}

---

[16]
{"formula": "Zr2Si2GeRu5", "functional": "PBE-GGA", "state": "relaxed", "magnetic_moment_mub_per_fu": 0.00, "raw_formation_energy_ev_per_atom": -0.687, "dft_energy_ev_per_atom": -8.5813, "n_ef_per_ev_cell": 4.23, "spacegroup": "P4/mbm (127)", "lattice": [[-1.592, -0.345, 2.736], [-8.220, -1.782, -5.008], [2.073, -9.567, 0.002]], "species": ["Zr", "Ru", "Ru", "Si", "Ru", "Ru", "Ru", "Si", "Ge", "Ru", "Ru", "Ru", "Ge", "Si", "Zr", "Ru", "Zr", "Zr", "Ru", "Si"], "fractional_positions": [[0.000, 0.327, 0.827], [0.500, 0.434, 0.296], [0.500, 0.204, 0.066], [0.000, 0.372, 0.128], [0.500, 0.566, 0.704], [0.500, 0.500, 0.000], [0.500, 0.796, 0.934], [0.000, 0.872, 0.372], [0.000, 0.000, 0.000], [0.500, 0.066, 0.796], [0.500, 0.000, 0.500], [0.500, 0.704, 0.434], [0.000, 0.500, 0.500], [0.000, 0.628, 0.872], [0.000, 0.827, 0.673], [0.500, 0.296, 0.566], [0.000, 0.673, 0.173], [0.000, 0.173, 0.327], [0.500, 0.934, 0.204], [0.000, 0.128, 0.628]]}

---

[17]
{"formula": "SmGe4Ru4", "functional": "PBE-GGA", "state": "relaxed", "magnetic_moment_mub_per_fu": 0.00, "e_form_mev_per_atom": -343, "dft_energy_ev_per_atom": -7.0421, "n_ef_per_ev_cell": 14.21, "spacegroup": "P4_2/nmc (137)", "lattice": [[6.100, 0.000, 0.000], [0.000, 6.100, 0.000], [0.000, 0.000, 8.268]], "species": ["Ge", "Ge", "Ru", "Ge", "Ge", "Ru", "Sm", "Ge", "Sm", "Ge", "Ru", "Ru", "Ge", "Ru", "Ru", "Ge", "Ru", "Ru"], "fractional_positions": [[0.000, 0.293, 0.682], [0.500, 0.793, 0.818], [0.739, 0.000, 0.617], [0.707, 0.000, 0.318], [0.293, 0.000, 0.318], [0.500, 0.239, 0.117], [0.000, 0.000, 0.000], [0.000, 0.707, 0.682], [0.500, 0.500, 0.500], [0.500, 0.207, 0.818], [0.761, 0.500, 0.883], [0.000, 0.739, 0.383], [0.207, 0.500, 0.182], [0.261, 0.000, 0.617], [0.239, 0.500, 0.883], [0.793, 0.500, 0.182], [0.500, 0.761, 0.117], [0.000, 0.261, 0.383]]}

---

[18]
{"formula": "Sm2Ge4Ru5", "functional": "PBE-GGA", "state": "relaxed", "magnetic_moment_mub_per_fu": 0.00, "e_form_mev_per_atom": -466, "dft_energy_ev_per_atom": -7.2197, "n_ef_per_ev_cell": 5.61, "spacegroup": "Fmmm (69)", "lattice": [[-2.082, -4.200, -3.599], [2.972, -1.500, -4.822], [2.333, -6.810, 1.746]], "species": ["Ge", "Ru", "Ge", "Sm", "Sm", "Ge", "Ru", "Ru", "Ru", "Ge", "Ru"], "fractional_positions": [[0.216, 0.299, 0.268], [0.000, 0.500, 0.000], [0.485, 0.299, 0.732], [0.873, 0.000, 0.253], [0.127, 0.000, 0.747], [0.784, 0.701, 0.732], [0.500, 0.000, 0.000], [0.750, 0.500, 0.500], [0.250, 0.500, 0.500], [0.515, 0.701, 0.268], [0.500, 0.500, 0.000]]}

---

[19]
{"formula": "Sm2GeRu", "functional": "PBE-GGA", "state": "relaxed", "magnetic_moment_mub_per_fu": 0.00, "e_form_mev_per_atom": -507, "dft_energy_ev_per_atom": -6.3400, "n_ef_per_ev_cell": 2.00, "spacegroup": "P-3m1 (164)", "lattice": [[4.771, 0.000, 0.000], [-2.385, 4.132, 0.000], [0.000, 0.000, 5.030]], "species": ["Sm", "Ge", "Ru", "Sm"], "fractional_positions": [[0.667, 0.333, 0.766], [0.000, 0.000, 0.500], [0.000, 0.000, 0.000], [0.333, 0.667, 0.234]]}

---

[20]
{"formula": "SmGe2Ru", "functional": "PBE-GGA", "state": "relaxed", "magnetic_moment_mub_per_fu": 0.00, "e_form_mev_per_atom": -634, "dft_energy_ev_per_atom": -6.4409, "n_ef_per_ev_cell": 10.26, "spacegroup": "Immm (71)", "lattice": [[4.196, 0.000, -0.975], [-1.010, 7.990, -4.348], [-0.008, -0.081, 9.485]], "species": ["Ru", "Ru", "Ru", "Ge", "Ge", "Ge", "Ge", "Sm", "Ge", "Sm", "Sm", "Sm", "Ge", "Ge", "Ge", "Ru"], "fractional_positions": [[0.857, 0.609, 0.714], [0.143, 0.894, 0.286], [0.857, 0.106, 0.714], [0.699, 0.039, 0.399], [0.919, 0.919, 0.838], [0.081, 0.081, 0.162], [0.301, 0.961, 0.601], [0.710, 0.710, 0.419], [0.079, 0.579, 0.157], [0.500, 0.257, 0.000], [0.500, 0.743, 0.000], [0.290, 0.290, 0.581], [0.699, 0.360, 0.399], [0.921, 0.421, 0.843], [0.301, 0.640, 0.601], [0.143, 0.391, 0.286]]}